Material: NiPC2Br
Method: DFT, GGA-PBE
State: relaxed

E_form (uncorrected), eV per atom: 1.45
V, A^3/atom: 17.02
Total magnetic moment, Bohr magnetons per cell: 0.00

Lattice parameters (Å, degrees): 3.4243 7.2578 3.4243 90.00 90.00 90.00
With the nearest neighbours (Å) after each atom.
Positions (direct):
P  0.0000  0.0000  0.0000  4 C 1.71
C  0.0000  0.0000  0.5000  2 P 1.71
C  0.5000  0.0000  0.0000  2 P 1.71
Br  0.5000  0.5000  0.5000  4 Ni 2.42
Ni  0.0000  0.5000  0.0000  4 Br 2.42